First-principles (PBE) data for a geometry-optimized Sm7Y2Tm structure, as listed in Alexandria via LeMat-Bulk.

Calculated values
Formation energy from the elements ... 412.4 meV/atom

a = 10.283 Å, b = 10.283 Å, c = 3.522 Å
α = 90.00°, β = 90.00°, γ = 108.70°
Fractional positions:
Sm (0.000, 0.000, 0.000)
Sm (0.117, 0.372, 0.000)
Sm (0.175, 0.825, 0.500)
Sm (0.372, 0.117, 0.000)
Sm (0.628, 0.883, 0.000)
Sm (0.825, 0.175, 0.500)
Sm (0.883, 0.628, 0.000)
Y (0.332, 0.668, 0.000)
Y (0.668, 0.332, 0.000)
Tm (0.500, 0.500, 0.500)

First-principles (PBE) data for a geometry-optimized Sm2Y3Tm3 structure, as listed in Alexandria via LeMat-Bulk.

Calculated values
Formation energy from the elements ... 137.9 meV/atom

a = 6.443 Å, b = 6.443 Å, c = 6.443 Å
α = 95.44°, β = 95.44°, γ = 95.44°
Fractional positions:
Sm (0.197, 0.197, 0.197)
Sm (0.803, 0.803, 0.803)
Y (0.214, 0.786, 0.500)
Y (0.500, 0.214, 0.786)
Y (0.786, 0.500, 0.214)
Tm (0.000, 0.311, 0.689)
Tm (0.311, 0.689, 0.000)
Tm (0.689, 0.000, 0.311)

First-principles (PBE) data for a geometry-optimized Sm2Y3Tm9 structure, as listed in Alexandria via LeMat-Bulk.

Calculated values
Formation energy from the elements ... 85.7 meV/atom

a = 6.366 Å, b = 8.312 Å, c = 8.826 Å
α = 87.55°, β = 82.87°, γ = 71.11°
Fractional positions:
Sm (0.000, 0.000, 0.000)
Sm (0.144, 0.651, 0.197)
Y (0.466, 0.039, 0.790)
Y (0.614, 0.346, 0.162)
Y (0.794, 0.552, 0.449)
Tm (0.070, 0.391, 0.948)
Tm (0.180, 0.176, 0.284)
Tm (0.304, 0.828, 0.500)
Tm (0.339, 0.395, 0.542)
Tm (0.497, 0.586, 0.826)
Tm (0.599, 0.790, 0.121)
Tm (0.748, 0.988, 0.413)
Tm (0.918, 0.200, 0.665)
Tm (0.944, 0.739, 0.745)

First-principles (PBE) data for a geometry-optimized Sm3Y6Tm2 structure, as listed in Alexandria via LeMat-Bulk.

Calculated values
Formation energy from the elements ... 22.2 meV/atom

a = 32.025 Å, b = 32.025 Å, c = 32.025 Å
α = 6.40°, β = 6.40°, γ = 6.40°
Fractional positions:
Sm (0.000, 0.000, 0.000)
Sm (0.272, 0.272, 0.272)
Sm (0.728, 0.728, 0.728)
Y (0.092, 0.092, 0.092)
Y (0.182, 0.182, 0.182)
Y (0.364, 0.364, 0.364)
Y (0.636, 0.636, 0.636)
Y (0.818, 0.818, 0.818)
Y (0.908, 0.908, 0.908)
Tm (0.455, 0.455, 0.455)
Tm (0.545, 0.545, 0.545)

First-principles (PBE) data for a geometry-optimized Sm5Y3Tm structure, as listed in Alexandria via LeMat-Bulk.

Calculated values
Formation energy from the elements ... 511.0 meV/atom

a = 9.585 Å, b = 9.585 Å, c = 9.922 Å
α = 120.54°, β = 120.54°, γ = 74.62°
Fractional positions:
Sm (0.095, 0.600, 0.255)
Sm (0.227, 0.227, 0.237)
Sm (0.246, 0.754, 0.000)
Sm (0.277, 0.277, 0.957)
Sm (0.400, 0.905, 0.745)
Sm (0.600, 0.095, 0.255)
Sm (0.723, 0.723, 0.043)
Sm (0.754, 0.246, 0.000)
Sm (0.773, 0.773, 0.763)
Sm (0.905, 0.400, 0.745)
Y (0.000, 0.000, 0.500)
Y (0.009, 0.009, 0.824)
Y (0.483, 0.483, 0.645)
Y (0.500, 0.500, 0.000)
Y (0.517, 0.517, 0.355)
Y (0.991, 0.991, 0.176)
Tm (0.248, 0.248, 0.596)
Tm (0.752, 0.752, 0.404)

First-principles (PBE) data for a geometry-optimized SmY6Tm2 structure, as listed in Alexandria via LeMat-Bulk.

Calculated values
Formation energy from the elements ... 71.2 meV/atom

a = 11.845 Å, b = 11.845 Å, c = 11.845 Å
α = 152.08°, β = 131.99°, γ = 56.45°
Fractional positions:
Sm (0.250, 0.250, 0.000)
Sm (0.750, 0.750, 0.000)
Y (0.002, 0.366, 0.698)
Y (0.083, 0.083, 0.000)
Y (0.167, 0.866, 0.363)
Y (0.333, 0.696, 0.698)
Y (0.417, 0.417, 0.000)
Y (0.498, 0.196, 0.363)
Y (0.502, 0.804, 0.637)
Y (0.583, 0.583, 0.000)
Y (0.667, 0.304, 0.302)
Y (0.833, 0.134, 0.637)
Y (0.917, 0.917, 0.000)
Y (0.998, 0.634, 0.302)
Tm (0.168, 0.468, 0.636)
Tm (0.332, 0.968, 0.300)
Tm (0.668, 0.032, 0.700)
Tm (0.832, 0.532, 0.364)

First-principles (PBE) data for a geometry-optimized Sm6YTm6 structure, as listed in Alexandria via LeMat-Bulk.

Calculated values
Formation energy from the elements ... 261.9 meV/atom

a = 6.691 Å, b = 6.691 Å, c = 11.325 Å
α = 90.00°, β = 90.00°, γ = 120.00°
Fractional positions:
Sm (0.000, 0.000, 0.158)
Sm (0.000, 0.000, 0.842)
Sm (0.333, 0.667, 0.000)
Sm (0.333, 0.667, 0.500)
Sm (0.667, 0.333, 0.000)
Sm (0.667, 0.333, 0.500)
Y (0.000, 0.000, 0.500)
Tm (0.000, 0.500, 0.256)
Tm (0.000, 0.500, 0.744)
Tm (0.500, 0.000, 0.256)
Tm (0.500, 0.000, 0.744)
Tm (0.500, 0.500, 0.256)
Tm (0.500, 0.500, 0.744)

First-principles (PBE) data for a geometry-optimized Sm3YTm4 structure, as listed in Alexandria via LeMat-Bulk.

Calculated values
Formation energy from the elements ... 145.0 meV/atom

a = 3.449 Å, b = 8.812 Å, c = 8.833 Å
α = 81.98°, β = 78.95°, γ = 79.09°
Fractional positions:
Sm (0.000, 0.000, 0.000)
Sm (0.254, 0.244, 0.244)
Sm (0.746, 0.756, 0.756)
Y (0.500, 0.500, 0.500)
Tm (0.138, 0.115, 0.617)
Tm (0.140, 0.617, 0.114)
Tm (0.860, 0.383, 0.886)
Tm (0.862, 0.885, 0.383)

First-principles (PBE) data for a geometry-optimized SmY12Tm7 structure, as listed in Alexandria via LeMat-Bulk.

Calculated values
Formation energy from the elements ... 335.6 meV/atom

a = 10.970 Å, b = 10.970 Å, c = 10.970 Å
α = 116.00°, β = 116.00°, γ = 116.00°
Fractional positions:
Sm (0.000, 0.000, 0.000)
Y (0.009, 0.589, 0.800)
Y (0.200, 0.991, 0.411)
Y (0.234, 0.303, 0.756)
Y (0.244, 0.766, 0.697)
Y (0.303, 0.756, 0.234)
Y (0.411, 0.200, 0.991)
Y (0.589, 0.800, 0.009)
Y (0.697, 0.244, 0.766)
Y (0.756, 0.234, 0.303)
Y (0.766, 0.697, 0.244)
Y (0.800, 0.009, 0.589)
Y (0.991, 0.411, 0.200)
Tm (0.142, 0.312, 0.444)
Tm (0.312, 0.444, 0.142)
Tm (0.444, 0.142, 0.312)
Tm (0.500, 0.500, 0.500)
Tm (0.556, 0.858, 0.688)
Tm (0.688, 0.556, 0.858)
Tm (0.858, 0.688, 0.556)

First-principles (PBE) data for a geometry-optimized Sm2Y12Tm5 structure, as listed in Alexandria via LeMat-Bulk.

Calculated values
Formation energy from the elements ... 142.8 meV/atom

a = 8.054 Å, b = 8.221 Å, c = 10.588 Å
α = 87.19°, β = 75.30°, γ = 66.56°
Fractional positions:
Sm (0.150, 0.318, 0.048)
Sm (0.850, 0.682, 0.952)
Y (0.068, 0.295, 0.740)
Y (0.117, 0.302, 0.394)
Y (0.190, 0.835, 0.719)
Y (0.202, 0.851, 0.391)
Y (0.459, 0.489, 0.178)
Y (0.498, 0.010, 0.173)
Y (0.502, 0.990, 0.827)
Y (0.541, 0.511, 0.822)
Y (0.798, 0.149, 0.609)
Y (0.810, 0.165, 0.281)
Y (0.883, 0.698, 0.606)
Y (0.932, 0.705, 0.260)
Tm (0.197, 0.875, 0.047)
Tm (0.355, 0.432, 0.542)
Tm (0.500, 0.000, 0.500)
Tm (0.645, 0.568, 0.458)
Tm (0.803, 0.125, 0.953)

First-principles (PBE) data for a geometry-optimized Sm12YTm7 structure, as listed in Alexandria via LeMat-Bulk.

Calculated values
Formation energy from the elements ... 259.5 meV/atom

a = 11.464 Å, b = 11.464 Å, c = 11.464 Å
α = 116.88°, β = 116.88°, γ = 116.88°
Fractional positions:
Sm (0.000, 0.414, 0.587)
Sm (0.000, 0.586, 0.413)
Sm (0.087, 0.440, 0.088)
Sm (0.088, 0.087, 0.440)
Sm (0.413, 0.000, 0.586)
Sm (0.414, 0.587, 0.000)
Sm (0.440, 0.088, 0.087)
Sm (0.560, 0.912, 0.913)
Sm (0.586, 0.413, 0.000)
Sm (0.587, 0.000, 0.414)
Sm (0.912, 0.913, 0.560)
Sm (0.913, 0.560, 0.912)
Y (0.500, 0.500, 0.500)
Tm (0.000, 0.000, 0.000)
Tm (0.129, 0.373, 0.374)
Tm (0.373, 0.374, 0.129)
Tm (0.374, 0.129, 0.373)
Tm (0.626, 0.871, 0.627)
Tm (0.627, 0.626, 0.871)
Tm (0.871, 0.627, 0.626)

First-principles (PBE) data for a geometry-optimized Sm2YTm structure, as listed in Alexandria via LeMat-Bulk.

Calculated values
Formation energy from the elements ... 179.4 meV/atom

a = 3.501 Å, b = 3.501 Å, c = 37.418 Å
α = 90.00°, β = 90.00°, γ = 120.00°
Fractional positions:
Sm (0.000, 0.000, 0.090)
Sm (0.000, 0.000, 0.910)
Sm (0.333, 0.667, 0.576)
Sm (0.333, 0.667, 0.757)
Sm (0.667, 0.333, 0.243)
Sm (0.667, 0.333, 0.424)
Y (0.000, 0.000, 0.000)
Y (0.333, 0.667, 0.667)
Y (0.667, 0.333, 0.333)
Tm (0.000, 0.000, 0.500)
Tm (0.333, 0.667, 0.167)
Tm (0.667, 0.333, 0.833)

Q: Which formula does entry 9 have?
A: SmY12Tm7

Q: Which of these has the lowest formation energy from the elements?
A: Sm3Y6Tm2

Q: What is the formula in the seventh record?
A: Sm6YTm6

Repeat the third record exactly.
First-principles (PBE) data for a geometry-optimized Sm2Y3Tm9 structure, as listed in Alexandria via LeMat-Bulk.

Calculated values
Formation energy from the elements ... 85.7 meV/atom

a = 6.366 Å, b = 8.312 Å, c = 8.826 Å
α = 87.55°, β = 82.87°, γ = 71.11°
Fractional positions:
Sm (0.000, 0.000, 0.000)
Sm (0.144, 0.651, 0.197)
Y (0.466, 0.039, 0.790)
Y (0.614, 0.346, 0.162)
Y (0.794, 0.552, 0.449)
Tm (0.070, 0.391, 0.948)
Tm (0.180, 0.176, 0.284)
Tm (0.304, 0.828, 0.500)
Tm (0.339, 0.395, 0.542)
Tm (0.497, 0.586, 0.826)
Tm (0.599, 0.790, 0.121)
Tm (0.748, 0.988, 0.413)
Tm (0.918, 0.200, 0.665)
Tm (0.944, 0.739, 0.745)